(one)
Compound: KCoHg2
Source: Alexandria
Functional: PBE-GGA
Structure: optimized geometry

- Density of states at the Fermi level: 16.74 states/eV/cell
- Symmetry: F-43m, No. 216
- Total magnetic moment: 1.93 μB per formula unit

a b c (Å): 7.399 7.399 7.399
angles (deg): 90.00 90.00 90.00
Positions (direct):
K (0.000, 0.000, 0.000)
K (0.000, 0.500, 0.500)
K (0.500, 0.000, 0.500)
K (0.500, 0.500, 0.000)
Co (0.250, 0.250, 0.250)
Co (0.250, 0.750, 0.750)
Co (0.750, 0.250, 0.750)
Co (0.750, 0.750, 0.250)
Hg (0.000, 0.000, 0.500)
Hg (0.000, 0.500, 0.000)
Hg (0.250, 0.250, 0.750)
Hg (0.250, 0.750, 0.250)
Hg (0.500, 0.000, 0.000)
Hg (0.500, 0.500, 0.500)
Hg (0.750, 0.250, 0.250)
Hg (0.750, 0.750, 0.750)

(two)
Compound: KCoHg2
Source: Alexandria
Functional: PBE-GGA
Structure: optimized geometry

- Density of states at the Fermi level: 2.49 states/eV/cell
- Symmetry: P2/m, No. 10
- Total magnetic moment: 1.51 μB per formula unit

a b c (Å): 5.411 3.116 6.251
angles (deg): 90.00 113.84 90.00
Positions (direct):
K (0.000, 0.000, 0.000)
Co (0.500, 0.500, 0.500)
Hg (0.000, 0.000, 0.500)
Hg (0.500, 0.500, 0.000)

(three)
Compound: KCoHg2
Source: Alexandria
Functional: PBE-GGA
Structure: optimized geometry

- Density of states at the Fermi level: 7.51 states/eV/cell
- Symmetry: Cm, No. 8
- Total magnetic moment: 1.26 μB per formula unit

a b c (Å): 11.946 3.062 6.640
angles (deg): 90.00 123.41 90.00
Positions (direct):
K (0.000, 0.000, 0.000)
K (0.500, 0.500, 0.000)
Co (0.243, 0.500, 0.008)
Co (0.743, 0.000, 0.008)
Hg (0.172, 0.000, 0.632)
Hg (0.378, 0.000, 0.397)
Hg (0.672, 0.500, 0.632)
Hg (0.878, 0.500, 0.397)

(four)
Compound: KCoHg2
Source: Alexandria
Functional: PBE-GGA
Structure: optimized geometry

- Density of states at the Fermi level: 5.47 states/eV/cell
- Symmetry: P4mm, No. 99
- Total magnetic moment: 1.36 μB per formula unit

a b c (Å): 3.687 3.687 7.999
angles (deg): 90.00 90.00 90.00
Positions (direct):
K (0.000, 0.000, 0.000)
Co (0.500, 0.500, 0.365)
Hg (0.000, 0.000, 0.407)
Hg (0.500, 0.500, 0.700)

Tell me which of them is the most stable. Sure, it is (four).

(one)
Compound: La4Co2Hg
Source: Alexandria
Functional: PBE-GGA
Structure: optimized geometry

- Density of states at the Fermi level: 12.73 states/eV/cell
- Symmetry: Cmcm, No. 63
- Total magnetic moment: 0.00 μB per formula unit

a b c (Å): 7.255 7.255 13.833
angles (deg): 90.00 90.00 147.23
Positions (direct):
La (0.000, 0.000, 0.000)
La (0.000, 0.000, 0.500)
La (0.267, 0.733, 0.607)
La (0.267, 0.733, 0.893)
La (0.424, 0.576, 0.250)
La (0.576, 0.424, 0.750)
La (0.733, 0.267, 0.107)
La (0.733, 0.267, 0.393)
Co (0.369, 0.631, 0.063)
Co (0.369, 0.631, 0.437)
Co (0.631, 0.369, 0.563)
Co (0.631, 0.369, 0.937)
Hg (0.108, 0.892, 0.250)
Hg (0.892, 0.108, 0.750)

(two)
Compound: La4Co2Hg
Source: Alexandria
Functional: PBE-GGA
Structure: optimized geometry

- Density of states at the Fermi level: 12.34 states/eV/cell
- Symmetry: Fddd, No. 70
- Total magnetic moment: 0.00 μB per formula unit

a b c (Å): 9.502 8.150 8.122
angles (deg): 71.46 54.41 54.13
Positions (direct):
La (0.152, 0.279, 0.281)
La (0.212, 0.719, 0.721)
La (0.279, 0.152, 0.788)
La (0.281, 0.788, 0.152)
La (0.719, 0.212, 0.848)
La (0.721, 0.848, 0.212)
La (0.788, 0.281, 0.279)
La (0.848, 0.721, 0.719)
Co (0.000, 0.000, 0.000)
Co (0.000, 0.000, 0.500)
Co (0.000, 0.500, 0.000)
Co (0.500, 0.000, 0.000)
Hg (0.375, 0.375, 0.375)
Hg (0.625, 0.625, 0.625)

(three)
Compound: La4Co2Hg
Source: Alexandria
Functional: PBE-GGA
Structure: optimized geometry

- Density of states at the Fermi level: 23.30 states/eV/cell
- Symmetry: I4/mmm, No. 139
- Total magnetic moment: 0.00 μB per formula unit

a b c (Å): 6.047 6.047 12.858
angles (deg): 90.00 90.00 90.00
Positions (direct):
La (0.000, 0.000, 0.247)
La (0.000, 0.000, 0.753)
La (0.000, 0.500, 0.000)
La (0.000, 0.500, 0.500)
La (0.500, 0.000, 0.000)
La (0.500, 0.000, 0.500)
La (0.500, 0.500, 0.253)
La (0.500, 0.500, 0.747)
Co (0.000, 0.000, 0.415)
Co (0.000, 0.000, 0.585)
Co (0.500, 0.500, 0.085)
Co (0.500, 0.500, 0.915)
Hg (0.000, 0.000, 0.000)
Hg (0.500, 0.500, 0.500)

Tell me which of them is the most stable. Sure, it is (one).

(one)
Compound: La3CoHg2
Source: Alexandria
Functional: PBE-GGA
Structure: optimized geometry

- Density of states at the Fermi level: 10.79 states/eV/cell
- Symmetry: Cmmm, No. 65
- Total magnetic moment: 0.00 μB per formula unit

a b c (Å): 5.319 16.763 3.764
angles (deg): 90.00 90.00 90.00
Positions (direct):
La (0.000, 0.000, 0.000)
La (0.000, 0.369, 0.500)
La (0.000, 0.631, 0.500)
La (0.500, 0.131, 0.500)
La (0.500, 0.500, 0.000)
La (0.500, 0.869, 0.500)
Co (0.000, 0.500, 0.000)
Co (0.500, 0.000, 0.000)
Hg (0.000, 0.198, 0.000)
Hg (0.000, 0.802, 0.000)
Hg (0.500, 0.302, 0.000)
Hg (0.500, 0.698, 0.000)

(two)
Compound: La3CoHg2
Source: Alexandria
Functional: PBE-GGA
Structure: optimized geometry

- Density of states at the Fermi level: 8.69 states/eV/cell
- Symmetry: C2/c, No. 15
- Total magnetic moment: 0.00 μB per formula unit

a b c (Å): 8.330 8.330 7.829
angles (deg): 103.59 103.59 42.55
Positions (direct):
La (0.000, 0.000, 0.250)
La (0.000, 0.000, 0.750)
La (0.374, 0.375, 0.937)
La (0.375, 0.374, 0.437)
La (0.625, 0.626, 0.563)
La (0.626, 0.625, 0.063)
Co (0.499, 0.501, 0.750)
Co (0.501, 0.499, 0.250)
Hg (0.193, 0.193, 0.097)
Hg (0.193, 0.193, 0.597)
Hg (0.807, 0.807, 0.403)
Hg (0.807, 0.807, 0.903)

Tell me which of them is the most stable. Sure, it is (one).

(one)
Compound: La8CoHg2
Source: Alexandria
Functional: PBE-GGA
Structure: optimized geometry

- Density of states at the Fermi level: 14.76 states/eV/cell
- Symmetry: C2/m, No. 12
- Total magnetic moment: 0.00 μB per formula unit

a b c (Å): 9.729 9.729 7.413
angles (deg): 93.20 93.20 30.17
Positions (direct):
La (0.006, 0.006, 0.274)
La (0.214, 0.214, 0.812)
La (0.365, 0.365, 0.496)
La (0.408, 0.408, 0.017)
La (0.592, 0.592, 0.983)
La (0.635, 0.635, 0.504)
La (0.786, 0.786, 0.188)
La (0.994, 0.994, 0.726)
Co (0.500, 0.500, 0.500)
Hg (0.183, 0.183, 0.249)
Hg (0.817, 0.817, 0.751)

(two)
Compound: La8CoHg2
Source: Alexandria
Functional: PBE-GGA
Structure: optimized geometry

- Density of states at the Fermi level: 11.41 states/eV/cell
- Symmetry: C2/m, No. 12
- Total magnetic moment: 0.00 μB per formula unit

a b c (Å): 9.721 9.721 6.925
angles (deg): 107.37 107.37 33.10
Positions (direct):
La (0.015, 0.015, 0.224)
La (0.208, 0.208, 0.106)
La (0.343, 0.343, 0.673)
La (0.416, 0.416, 0.245)
La (0.584, 0.584, 0.755)
La (0.657, 0.657, 0.327)
La (0.792, 0.792, 0.894)
La (0.985, 0.985, 0.776)
Co (0.500, 0.500, 0.000)
Hg (0.164, 0.164, 0.619)
Hg (0.836, 0.836, 0.381)

Tell me which of them is the most stable. Sure, it is (one).